# ThUSb2N, relaxed, DFT GGA-PBE
# **SG**: P4/nmm (129)
# **D(E_F)**: 1.068 states/eV per atom
# **E_form (uncorrected)**: -740 meV/atom
data_ThUSb2N
_chemical_formula_sum 'Th2 U2 Sb4 N2'
_cell_length_a 4.0685
_cell_length_b 4.0685
_cell_length_c 14.3398
_cell_angle_alpha 90.00
_cell_angle_beta 90.00
_cell_angle_gamma 90.00
_symmetry_space_group_name_H-M 'P 1'
_symmetry_Int_Tables_number 1
_symmetry_space_group_name_Hall 'P 1'
loop_
_atom_site_label
_atom_site_type_symbol
_atom_site_fract_x
_atom_site_fract_y
_atom_site_fract_z
Sb1 Sb 0.0000 0.5000 0.1692
N1 N 0.5000 0.5000 0.5000
Th1 Th 0.0000 0.5000 0.4192
U1 U 0.0000 0.5000 0.9602
Sb2 Sb 0.5000 0.0000 0.8308
N2 N 0.0000 0.0000 0.5000
Sb3 Sb 0.0000 0.5000 0.7374
Sb4 Sb 0.5000 0.0000 0.2626
U2 U 0.5000 0.0000 0.0398
Th2 Th 0.5000 0.0000 0.5808